First-principles (PBE-GGA) data for an optimized crystal structure of InSb3W, as listed in Alexandria via LeMat-Bulk.

Calculated values
Crystal system: cubic
Total DFT energy (no corrections) (eV/atom): -3.617
V (Å³ per atom): 31.52
Raw formation energy (eV per atom): 1.9952

Geometry as POSCAR:
```
InSb3W
1.0
-2.572 3.147 3.558
-3.647 1.284 -3.772
-3.043 -4.198 1.514
Sb W In
3 1 1
Cartesian
-1.823 0.642 -1.886
-1.522 -2.099 0.757
-1.286 1.574 1.779
-4.631 0.117 0.649
0.000 0.000 0.000
```

---

First-principles (PBE-GGA) data for an optimized crystal structure of BaMg2Cl, as listed in Alexandria via LeMat-Bulk.

Calculated values
Crystal system: orthorhombic
Total DFT energy (no corrections) (eV/atom): -2.223
V (Å³ per atom): 36.32
Raw formation energy (eV per atom): -0.4838

Geometry as POSCAR:
```
BaMg2Cl
1.0
-3.700 -0.458 -5.546
2.276 -5.102 3.666
-3.360 0.106 2.233
Ba Cl Mg
1 1 2
Cartesian
-3.530 -0.176 -1.656
-0.542 -2.498 2.950
0.000 0.000 0.000
-0.712 -2.780 -0.940
```

---

First-principles (PBE-GGA) data for an optimized crystal structure of Li3NdMg9, as listed in Alexandria via LeMat-Bulk.

Calculated values
Crystal system: monoclinic
Formation enthalpy at 0 K (eV per atom): -0.06
Total DFT energy (no corrections) (eV/atom): -1.975
V (Å³ per atom): 22.72

Geometry as POSCAR:
```
Li3NdMg9
1.0
5.106 -0.001 2.073
2.462 7.309 1.000
-0.205 0.000 7.831
Li Nd Mg
3 1 9
Cartesian
3.784 3.654 1.536
-0.102 0.000 3.915
2.451 -0.001 4.952
0.000 0.000 0.000
5.394 5.771 8.389
1.970 1.537 2.514
2.960 1.537 7.401
4.404 5.771 3.502
4.099 2.550 4.481
3.265 4.758 6.422
6.613 4.758 5.501
0.751 2.550 5.402
1.231 3.654 0.500
```

---

First-principles (PBE-GGA) data for an optimized crystal structure of Nd4Sb3O2, as listed in Alexandria via LeMat-Bulk.

Calculated values
Crystal system: monoclinic
Total DFT energy (no corrections) (eV/atom): -6.471
V (Å³ per atom): 26.32
Raw formation energy (eV per atom): -1.8764

Geometry as POSCAR:
```
Nd4Sb3O2
1.0
-3.942 -0.849 1.213
3.974 -6.128 1.314
0.174 7.523 5.832
Nd Sb O
4 3 2
Cartesian
-1.192 -1.949 2.069
1.398 2.494 6.289
-0.338 -0.946 5.546
0.544 1.491 2.812
-1.425 3.428 5.078
0.000 0.000 0.000
1.631 -2.883 3.281
-1.141 -0.141 3.501
1.347 0.686 4.857
```

---

First-principles (PBE-GGA) data for an optimized crystal structure of HfTi2SeF, as listed in Alexandria via LeMat-Bulk.

Calculated values
Crystal system: tetragonal
Total DFT energy (no corrections) (eV/atom): -7.040
V (Å³ per atom): 16.84
Raw formation energy (eV per atom): -0.8200

Geometry as POSCAR:
```
HfTi2SeF
1.0
4.000 0.000 0.000
0.000 5.262 0.000
0.000 0.000 4.000
F Hf Se Ti
1 1 1 2
Cartesian
0.000 0.000 0.000
2.000 2.631 2.000
0.000 2.631 0.000
0.000 0.000 2.000
2.000 0.000 0.000
```

---

First-principles (PBE-GGA) data for an optimized crystal structure of NiSbSe2, as listed in Alexandria via LeMat-Bulk.

Calculated values
Crystal system: orthorhombic
Total DFT energy (no corrections) (eV/atom): -3.779
V (Å³ per atom): 19.32
Raw formation energy (eV per atom): 0.4390

Geometry as POSCAR:
```
NiSbSe2
1.0
3.237 0.000 0.000
0.000 4.718 0.000
0.000 0.000 5.058
Ni Sb Se
1 1 2
Cartesian
1.619 0.000 2.529
0.000 2.359 2.529
0.000 0.000 0.000
1.619 2.359 0.000
```

---

First-principles (PBE-GGA) data for an optimized crystal structure of NbZn2W, as listed in Alexandria via LeMat-Bulk.

Calculated values
Crystal system: tetragonal
Formation enthalpy at 0 K (eV per atom): 0.61
Total DFT energy (no corrections) (eV/atom): -5.784
V (Å³ per atom): 17.42

Geometry as POSCAR:
```
NbZn2W
1.0
3.782 0.000 0.000
0.000 3.782 0.000
1.891 1.891 9.742
Nb Zn W
2 4 2
Cartesian
1.891 1.891 0.000
1.891 3.782 4.871
2.880 0.946 2.436
0.903 2.837 2.436
2.837 2.794 7.307
4.728 4.771 7.307
0.000 0.000 0.000
3.782 1.891 4.871
```

---

First-principles (PBE-GGA) data for an optimized crystal structure of RbZn2Cd2, as listed in Alexandria via LeMat-Bulk.

Calculated values
Crystal system: tetragonal
Formation enthalpy at 0 K (eV per atom): 0.12
Total DFT energy (no corrections) (eV/atom): -0.948
V (Å³ per atom): 25.50

Geometry as POSCAR:
```
RbZn2Cd2
1.0
-2.916 -5.979 5.541
0.779 -6.063 -6.131
3.188 -0.616 1.014
Zn Rb Cd
4 2 4
Cartesian
-0.432 -7.657 -3.292
-2.099 -9.020 1.123
-1.706 -4.385 2.702
-0.039 -3.022 -1.713
0.000 0.000 0.000
-1.069 -6.021 -0.295
1.625 -5.360 -2.658
0.295 -9.346 -0.895
-0.574 -7.297 3.081
0.756 -3.311 1.319
```

---

total DFT energy (no corrections) of number 5 (HfTi2SeF)? -7.040 eV/atom